(1)
This record from Alexandria describes a crystal of RePtAu3 relaxed with PBEsol. The functional is SCAN.

Calculated values
Mass density = 13.508 Mg/m³
DFT formation energy = 1.758 eV/atom

Cell lengths 4.9258, 4.9258, 4.9258 Å; angles 90.00, 90.00, 90.00 degrees
With the nearest neighbours (Å) after each atom.
Fractional coordinates of all 5 atoms:
Re (0.0000, 0.0000, 0.0000)  12 Au 3.48
Pt (0.5000, 0.5000, 0.5000)  6 Au 2.46
Au (0.0000, 0.5000, 0.5000)  2 Pt 2.46
Au (0.5000, 0.0000, 0.5000)  2 Pt 2.46
Au (0.5000, 0.5000, 0.0000)  2 Pt 2.46

***

(2)
This record from Alexandria describes a crystal of RePtAu relaxed with PBEsol. The functional is SCAN.

Calculated values
Mass density = 20.848 Mg/m³
DFT formation energy = 0.130 eV/atom

Cell lengths 6.3533, 6.3533, 6.3533 Å; angles 154.91, 154.91, 35.78 degrees
With the nearest neighbours (Å) after each atom.
Fractional coordinates of all 3 atoms:
Re (0.0000, 0.0000, 0.0000)  4 Pt 2.67, 4 Re 2.76, 4 Au 2.83
Pt (0.6501, 0.6501, 0.0000)  4 Re 2.67, 4 Pt 2.76, 4 Au 2.93
Au (0.3305, 0.3305, 0.0000)  4 Au 2.76, 4 Re 2.83, 4 Pt 2.93

***

(3)
This record from Alexandria describes a crystal of RePt2Au relaxed with PBEsol. The functional is SCAN.

Calculated values
Excess energy over the best structure of this formula in the dataset = 0.095 eV per atom
Mass density = 21.016 Mg/m³
DFT formation energy = -0.012 eV/atom

Cell lengths 9.2805, 9.2805, 9.2805 Å; angles 17.22, 17.22, 17.22 degrees
With the nearest neighbours (Å) after each atom.
Fractional coordinates of all 4 atoms:
Re (0.0000, 0.0000, 0.0000)  6 Pt 2.70, 6 Re 2.78
Pt (0.2542, 0.2542, 0.2542)  3 Re 2.70, 6 Pt 2.78, 3 Au 2.89
Pt (0.7458, 0.7458, 0.7458)  3 Re 2.70, 6 Pt 2.78, 3 Au 2.89
Au (0.5000, 0.5000, 0.5000)  6 Au 2.78, 6 Pt 2.89

***

(4)
This record from Alexandria describes a crystal of RePt2Au relaxed with PBEsol. The functional is SCAN.

Calculated values
Excess energy over the best structure of this formula in the dataset = 0.000 eV per atom
Mass density = 21.021 Mg/m³
DFT formation energy = -0.107 eV/atom

Cell lengths 2.7656, 2.7656, 7.9872 Å; angles 90.00, 90.00, 90.00 degrees
With the nearest neighbours (Å) after each atom.
Fractional coordinates of all 4 atoms:
Re (0.0000, 0.0000, 0.0000)  8 Pt 2.70, 4 Re 2.77
Pt (0.5000, 0.5000, 0.2322)  4 Re 2.70, 4 Pt 2.77, 4 Au 2.90
Pt (0.5000, 0.5000, 0.7678)  4 Re 2.70, 4 Pt 2.77, 4 Au 2.90
Au (0.0000, 0.0000, 0.5000)  4 Au 2.77, 8 Pt 2.90